(1)
# Nd3Si2S8I (SCAN, single point on PBEsol structure)
# Total moment ... 0.0 μB per formula unit
# E_tot ... -20.565 eV/atom
data_Nd3Si2S8I
_chemical_formula_sum 'Nd12 Si8 S32 I4'
_space_group_name_H-M_alt 'C 1 2/c 1'
_space_group_IT_number 15
_space_group_name_Hall '-C 2yc'
_cell_length_a 15.669
_cell_length_b 7.754
_cell_length_c 10.727
_cell_angle_alpha 90.00
_cell_angle_beta 97.94
_cell_angle_gamma 90.00
loop_
_atom_site_label
_atom_site_type_symbol
_atom_site_fract_x
_atom_site_fract_y
_atom_site_fract_z
Nd1 Nd 0.000 0.099 0.250
Nd2 Nd 0.199 0.378 0.682
Si1 Si 0.160 0.037 0.029
S1 S 0.066 0.156 0.543
S2 S 0.145 0.248 0.149
S3 S 0.149 0.101 0.836
S4 S 0.216 0.429 0.414
I1 I 0.000 0.486 0.750


(2)
# Ca2BS (SCAN, single point on PBEsol structure)
# Total moment ... 0.0 μB per formula unit
# E_tot ... -9.457 eV/atom
data_Ca2BS
_chemical_formula_sum 'Ca8 B4 S4'
_space_group_name_H-M_alt 'I -4 2 d'
_space_group_IT_number 122
_space_group_name_Hall 'I -4 2bw'
_cell_length_a 7.092
_cell_length_b 7.092
_cell_length_c 7.252
_cell_angle_alpha 90.00
_cell_angle_beta 90.00
_cell_angle_gamma 90.00
loop_
_atom_site_label
_atom_site_type_symbol
_atom_site_fract_x
_atom_site_fract_y
_atom_site_fract_z
Ca1 Ca 0.246 0.750 0.125
B1 B 0.000 0.000 0.000
S1 S 0.000 0.000 0.500


(3)
# TaHgIr (SCAN, single point on PBEsol structure)
# Total moment ... 0.0 μB per formula unit
# E_tot ... -68.637 eV/atom
# Formation energy ... -0.0209 eV/atom
data_TaHgIr
_chemical_formula_sum 'Ta2 Hg2 Ir2'
_space_group_name_H-M_alt 'I 4 m m'
_space_group_IT_number 107
_space_group_name_Hall 'I 4 -2'
_cell_length_a 3.392
_cell_length_b 3.392
_cell_length_c 8.887
_cell_angle_alpha 90.00
_cell_angle_beta 90.00
_cell_angle_gamma 90.00
loop_
_atom_site_label
_atom_site_type_symbol
_atom_site_fract_x
_atom_site_fract_y
_atom_site_fract_z
Ta1 Ta 0.000 0.000 0.000
Hg1 Hg 0.000 0.000 0.683
Ir1 Ir 0.000 0.000 0.361


> Among the records above, which one has the lowest E_tot?

TaHgIr